No. 1
A plane-wave DFT calculation with PBE-GGA was carried out for Cu5Pt4Rh2 after structural relaxation.

Results
Magnetization (μB/atom): 0.0003
ΔE to the lowest computed polymorph (meV per atom): 0
Space group: No. 10

Unit cell a=2.6834 b=6.6144 c=8.7888 alpha=85.95 beta=90.00 gamma=90.00
Positions (direct):
Cu (0.0000, 0.4342, 0.2833)
Cu (0.0000, 0.7936, 0.1644)
Cu (0.0000, 0.5000, 0.0000)
Cu (0.0000, 0.2064, 0.8356)
Cu (0.0000, 0.5658, 0.7167)
Pt (0.5000, 0.3026, 0.5607)
Pt (0.5000, 0.8317, 0.9024)
Pt (0.5000, 0.6974, 0.4393)
Pt (0.5000, 0.1683, 0.0976)
Rh (0.0000, 0.9423, 0.6401)
Rh (0.0000, 0.0577, 0.3599)



No. 2
A plane-wave DFT calculation with PBE-GGA was carried out for ScCu4Rh2 after structural relaxation.

Results
Magnetization (μB/atom): 0.0000
Energy (eV per atom): -4.503
Space group: No. 139

Unit cell a=4.4200 b=4.4200 c=7.0955 alpha=71.85 beta=71.85 gamma=90.00
Positions (direct):
Sc (0.0000, 0.0000, 0.0000)
Rh (0.6090, 0.6090, 0.7820)
Rh (0.3910, 0.3910, 0.2180)
Cu (0.8007, 0.8007, 0.3987)
Cu (0.1993, 0.1993, 0.6013)
Cu (0.0000, 0.5000, 0.0000)
Cu (0.5000, 0.0000, 0.0000)



No. 3
A plane-wave DFT calculation with PBE-GGA was carried out for Y4ErIr5 after structural relaxation.

Results
Magnetization (μB/atom): 0.0000
Energy (eV per atom): -8.265
Space group: No. 123

Unit cell a=3.3520 b=3.3520 c=17.8786 alpha=90.00 beta=90.00 gamma=90.00
Positions (direct):
Y (0.0000, 0.0000, 0.1986)
Y (0.0000, 0.0000, 0.3995)
Y (0.0000, 0.0000, 0.6005)
Y (0.0000, 0.0000, 0.8014)
Er (0.0000, 0.0000, 0.0000)
Ir (0.5000, 0.5000, 0.0971)
Ir (0.5000, 0.5000, 0.2989)
Ir (0.5000, 0.5000, 0.5000)
Ir (0.5000, 0.5000, 0.7011)
Ir (0.5000, 0.5000, 0.9029)



No. 4
A plane-wave DFT calculation with PBE-GGA was carried out for KLiCd after structural relaxation.

Results
Magnetization (μB/atom): 0.0000
ΔE to the lowest computed polymorph (meV per atom): 181
Space group: No. 216

Unit cell a=5.3434 b=5.3434 c=5.3434 alpha=60.00 beta=60.00 gamma=60.00
Positions (direct):
Cd (0.0000, 0.0000, 0.0000)
K (0.5000, 0.5000, 0.5000)
Li (0.7500, 0.7500, 0.7500)



No. 5
A plane-wave DFT calculation with PBE-GGA was carried out for VMoW after structural relaxation.

Results
Magnetization (μB/atom): 0.0000
ΔE to the lowest computed polymorph (meV per atom): 0
Space group: No. 42

Unit cell a=3.1156 b=3.1156 c=5.1525 alpha=107.54 beta=107.54 gamma=90.12
Positions (direct):
Mo (0.3816, 0.6104, 0.8212)
W (0.0518, 0.2805, 0.1616)
V (0.7176, 0.9464, 0.4931)



No. 6
A plane-wave DFT calculation with PBE-GGA was carried out for PrSBr after structural relaxation.

Results
Magnetization (μB/atom): 0.0000
Raw formation energy (kJ per mole of atoms): -192.5
Space group: No. 43

Unit cell a=7.3444 b=7.3444 c=8.1633 alpha=109.25 beta=109.25 gamma=105.48
Positions (direct):
Pr (0.0736, 0.4477, 0.9638)
Pr (0.6977, 0.8236, 0.4638)
Pr (0.4838, 0.1098, 0.0362)
Pr (0.3598, 0.2338, 0.5362)
S (0.3655, 0.4038, 0.2595)
S (0.6538, 0.1155, 0.7595)
S (0.3561, 0.8943, 0.2405)
S (0.1443, 0.1061, 0.7405)
Br (0.8708, 0.5317, 0.2476)
Br (0.8732, 0.0342, 0.2524)
Br (0.7817, 0.6208, 0.7476)
Br (0.2842, 0.6232, 0.7524)



No. 7
A plane-wave DFT calculation with PBE-GGA was carried out for Pm3TlHg3 after structural relaxation.

Results
Magnetization (μB/atom): 0.0000
ΔE to the lowest computed polymorph (meV per atom): 0
Space group: No. 176

Unit cell a=5.1216 b=9.4428 c=9.4428 alpha=120.00 beta=90.00 gamma=90.00
Positions (direct):
Pm (0.7500, 0.6582, 0.5569)
Pm (0.7500, 0.4431, 0.1013)
Pm (0.7500, 0.8987, 0.3418)
Pm (0.2500, 0.3418, 0.4431)
Pm (0.2500, 0.5569, 0.8987)
Pm (0.2500, 0.1013, 0.6582)
Tl (0.2500, 0.6667, 0.3333)
Tl (0.7500, 0.3333, 0.6667)
Hg (0.2500, 0.8069, 0.7697)
Hg (0.2500, 0.2303, 0.0373)
Hg (0.2500, 0.9627, 0.1931)
Hg (0.7500, 0.1931, 0.2303)
Hg (0.7500, 0.7697, 0.9627)
Hg (0.7500, 0.0373, 0.8069)



No. 8
A plane-wave DFT calculation with PBE-GGA was carried out for BaTl12Sn4 after structural relaxation.

Results
Magnetization (μB/atom): 0.0000
Energy (eV per atom): -2.653
Space group: No. 204

Unit cell a=9.1711 b=9.1711 c=9.1711 alpha=109.47 beta=109.47 gamma=109.47
Positions (direct):
Ba (0.0000, 0.0000, 0.0000)
Tl (0.8514, 0.3521, 0.2034)
Tl (0.3521, 0.5007, 0.1486)
Tl (0.7966, 0.1486, 0.6479)
Tl (0.3521, 0.2034, 0.8514)
Tl (0.2034, 0.8514, 0.3521)
Tl (0.6479, 0.4993, 0.8514)
Tl (0.5007, 0.1486, 0.3521)
Tl (0.4993, 0.8514, 0.6479)
Tl (0.6479, 0.7966, 0.1486)
Tl (0.8514, 0.6479, 0.4993)
Tl (0.1486, 0.3521, 0.5007)
Tl (0.1486, 0.6479, 0.7966)
Sn (0.0000, 0.5000, 0.0000)
Sn (0.5000, 0.0000, 0.0000)
Sn (0.5000, 0.5000, 0.5000)
Sn (0.0000, 0.0000, 0.5000)



No. 9
A plane-wave DFT calculation with PBE-GGA was carried out for Sm2MoS5 after structural relaxation.

Results
Magnetization (μB/atom): 0.0000
Raw formation energy (kJ per mole of atoms): -115.4
Space group: No. 107

Unit cell a=6.8564 b=6.8564 c=6.1595 alpha=123.82 beta=123.82 gamma=89.99
Positions (direct):
Sm (0.3039, 0.8039, 0.6078)
Sm (0.8039, 0.3039, 0.6078)
Mo (0.9382, 0.9382, 0.8764)
S (0.7792, 0.2540, 0.0332)
S (0.2540, 0.2540, 0.0334)
S (0.7793, 0.7793, 0.0333)
S (0.2540, 0.7792, 0.0332)
S (0.6644, 0.6644, 0.3289)



No. 10
A plane-wave DFT calculation with PBE-GGA was carried out for TaFe2Pt2 after structural relaxation.

Results
Magnetization (μB/atom): 0.0002
ΔE to the lowest computed polymorph (meV per atom): 46
Space group: No. 127

Unit cell a=6.4020 b=6.4020 c=3.4765 alpha=90.00 beta=90.00 gamma=90.00
Positions (direct):
Fe (0.3723, 0.8723, 0.0000)
Fe (0.8723, 0.6277, 0.0000)
Fe (0.6277, 0.1277, 0.0000)
Fe (0.1277, 0.3723, 0.0000)
Pt (0.1659, 0.6659, 0.5000)
Pt (0.6659, 0.8341, 0.5000)
Pt (0.8341, 0.3341, 0.5000)
Pt (0.3341, 0.1659, 0.5000)
Ta (0.0000, 0.0000, 0.0000)
Ta (0.5000, 0.5000, 0.0000)